Material: Li2CoPt2O6
Method: DFT, GGA+U
State: optimized geometry

Raw total energy ... -5.6548 eV/atom
M_tot ... 2.97 μB per formula unit

```
data_Li2CoPt2O6
_cell_length_a 5.3279
_cell_length_b 9.3826
_cell_length_c 5.1891
_cell_angle_alpha 90.00
_cell_angle_beta 110.41
_cell_angle_gamma 90.00
_symmetry_space_group_name_H-M 'C 1 2/m 1'
_symmetry_Int_Tables_number 12
_symmetry_space_group_name_Hall '-C 2y'
loop_
_atom_site_label
_atom_site_type_symbol
_atom_site_fract_x
_atom_site_fract_y
_atom_site_fract_z
_atom_site_occupancy
Li1 Li 0.0000 0.1704 0.0000 1
Co1 Co 0.0000 0.0000 0.5000 1
Pt1 Pt 0.0000 0.3357 0.5000 1
O1 O 0.2435 0.1773 0.7200 1
O2 O 0.2439 0.5000 0.7138 1
```